This record from Alexandria describes a relaxed structure of Er3Co6Ge5. The functional is PBE-GGA.

Cell and atoms, written as extended XYZ:
```
28
Lattice="3.916 0.000 0.000 0.000 9.372 0.000 0.000 0.000 11.930" Properties=species:S:1:pos:R:3 pbc="T T T"
Er 0.000 2.371 7.944
Er 1.958 7.001 1.978
Er 1.958 7.001 9.952
Er 0.000 2.316 0.000
Er 1.958 7.056 5.965
Er 0.000 2.371 3.987
Co 0.000 0.048 9.919
Co 1.958 9.324 7.977
Co 1.958 3.786 9.598
Co 1.958 4.659 0.000
Co 0.000 4.713 5.965
Co 0.000 5.586 8.298
Co 0.000 5.586 3.632
Co 1.958 0.108 0.000
Co 0.000 0.048 2.011
Co 1.958 3.786 2.333
Co 0.000 9.264 5.965
Co 1.958 9.324 3.954
Ge 0.000 4.827 10.495
Ge 0.000 7.988 7.996
Ge 0.000 8.188 0.000
Ge 1.958 4.545 7.400
Ge 1.958 1.184 5.965
Ge 0.000 4.827 1.435
Ge 1.958 4.545 4.530
Ge 0.000 7.988 3.934
Ge 1.958 1.384 9.899
Ge 1.958 1.384 2.031
```

Properties
size of the total moment: 0.0 μB/f.u.
DOS(E_F): 16.78 states/eV per cell
total energy: -6.24 eV per atom